HfZr2Pd5 (GGA-PBE, relaxed); energy relative to the elements = -5.54 eV/f.u.; total moment = 0.0 μB per cell; space group = Pbam, No. 55; ρ = 10.4 g/cm³
1.0
5.6799 0.0000 0.0000
0.0000 10.5954 0.0000
0.0000 0.0000 4.7344
Hf Zr Pd
2 4 10
direct
0.0000 0.0000 0.0000
0.5000 0.5000 0.0000
0.1523 0.3512 0.5000
0.3477 0.8512 0.5000
0.6523 0.1488 0.5000
0.8477 0.6488 0.5000
0.0000 0.5000 0.0000
0.1708 0.0940 0.5000
0.1871 0.7438 0.0000
0.3129 0.2438 0.0000
0.3292 0.5940 0.5000
0.5000 0.0000 0.0000
0.6708 0.4060 0.5000
0.6871 0.7562 0.0000
0.8129 0.2562 0.0000
0.8292 0.9060 0.5000


Pr2Sm4Y3 (GGA-PBE, relaxed); energy relative to the elements = 0.76 eV/f.u.; total moment = 0.0 μB per cell; space group = C2/c, No. 15; ρ = 6.3 g/cm³
1.0
8.2533 -5.9177 0.0000
8.2533 5.9177 0.0000
-0.6795 0.0000 6.2140
Pr Sm Y
4 8 6
direct
0.0225 0.7381 0.6811
0.2619 0.9775 0.8189
0.7381 0.0225 0.1811
0.9775 0.2619 0.3189
0.0768 0.3547 0.8483
0.3129 0.5915 0.9846
0.3547 0.0768 0.3483
0.4085 0.6871 0.5154
0.5915 0.3129 0.4846
0.6453 0.9232 0.6517
0.6871 0.4085 0.0154
0.9232 0.6453 0.1517
0.1017 0.8983 0.2500
0.2335 0.4349 0.4113
0.4349 0.2335 0.9113
0.5651 0.7665 0.0887
0.7665 0.5651 0.5887
0.8983 0.1017 0.7500


FeReIr (GGA-PBE, relaxed); energy relative to the elements = -0.22 eV/f.u.; total moment = 1.8 μB per cell; space group = Imm2, No. 44; ρ = 17.6 g/cm³; ΔE to the lowest computed polymorph = 0 meV per atom
1.0
-1.3539 1.8867 4.0120
1.3539 -1.8867 4.0120
1.3539 1.8867 -4.0120
Fe Re Ir
1 1 1
direct
0.0000 0.0000 0.0000
0.6632 0.6632 0.0000
0.3326 0.3326 0.0000


PuTlCuSe3 (GGA-PBE, relaxed); E_tot = -72.42 eV/cell; total moment = 8.1 μB per cell; space group = P2_1/m, No. 11; ρ = 7.4 g/cm³
1.0
9.1222 0.0000 0.0000
0.0000 4.0957 0.0000
-2.9228 0.0000 8.9859
Pu Tl Cu Se
2 2 2 6
direct
0.1779 0.2500 0.1594
0.8221 0.7500 0.8406
0.3037 0.7500 0.7686
0.6963 0.2500 0.2314
0.4202 0.7500 0.4112
0.5798 0.2500 0.5888
0.0413 0.2500 0.8429
0.2960 0.2500 0.4714
0.3848 0.7500 0.1397
0.6152 0.2500 0.8603
0.7040 0.7500 0.5286
0.9587 0.7500 0.1571


Ge3AsF (GGA-PBE, relaxed); total moment = 0.0 μB per cell; space group = Pm-3m, No. 221; ρ = 5.2 g/cm³; ΔE to the lowest computed polymorph = 0 meV per atom
1.0
4.6391 0.0000 0.0000
0.0000 4.6391 0.0000
0.0000 0.0000 4.6391
Ge As F
3 1 1
direct
0.0000 0.0000 0.5000
0.0000 0.5000 0.0000
0.5000 0.0000 0.0000
0.5000 0.5000 0.5000
0.0000 0.0000 0.0000


NaMn2HgBr8 (GGA-PBE, relaxed); E_tot = -41.43 eV/cell; total moment = 9.0 μB per cell; space group = P-3, No. 147; ρ = 4.0 g/cm³
1.0
7.0358 0.0000 0.0000
-3.5179 6.0932 0.0000
0.0000 0.0000 9.3612
Na Mn Hg Br
1 2 1 8
direct
0.0000 0.0000 0.0000
0.3333 0.6667 0.7493
0.6667 0.3333 0.2507
0.0000 0.0000 0.5000
0.0015 0.3182 0.6896
0.3166 0.9985 0.6896
0.3182 0.3166 0.3104
0.3333 0.6667 0.0024
0.6667 0.3333 0.9976
0.6818 0.6834 0.6896
0.6834 0.0015 0.3104
0.9985 0.6818 0.3104